Mn2GeRuC: optimized geometry, GGA-PBE.

abc: 3.807 3.807 4.072
angles: 90.00 90.00 90.00
Space group P4/mmm (No. 123)
Asymmetric unit:
1 Mn 0.000 0.500 0.000 (multiplicity 2)
2 Ge 0.000 0.000 0.500 (multiplicity 1)
3 Ru 0.500 0.500 0.500 (multiplicity 1)
4 C 0.500 0.500 0.000 (multiplicity 1)

For the formation energy, the calculation gives 0.02 eV per atom. The calculation puts the total energy at -8.2686 eV per atom. For the density, the calculation gives 8.3 g cm⁻³. The volume is 59.0 Å³ per cell.



Sc2Mn2Ge2C: optimized geometry, GGA-PBE.

abc: 3.857 3.857 13.753
angles: 90.00 90.00 90.00
Space group I4/mmm (No. 139)
Asymmetric unit:
1 Sc 0.000 0.000 0.167 (multiplicity 4)
2 Mn 0.000 0.500 0.000 (multiplicity 4)
3 Ge 0.000 0.000 0.375 (multiplicity 4)
4 C 0.000 0.000 0.000 (multiplicity 2)

For the formation energy, the calculation gives -0.54 eV per atom. The calculation puts the total energy at -7.6021 eV per atom. For the density, the calculation gives 5.8 g cm⁻³. The volume is 204.6 Å³ per cell.



Sc2MnGeC: optimized geometry, GGA-PBE.

abc: 4.511 4.511 3.744
angles: 90.00 90.00 90.00
Space group P4/mmm (No. 123)
Asymmetric unit:
1 Sc 0.000 0.500 0.000 (multiplicity 2)
2 Mn 0.000 0.000 0.500 (multiplicity 1)
3 Ge 0.500 0.500 0.500 (multiplicity 1)
4 C 0.000 0.000 0.000 (multiplicity 1)

For the formation energy, the calculation gives -0.51 eV per atom. The calculation puts the total energy at -7.6475 eV per atom. For the density, the calculation gives 5.0 g cm⁻³. The volume is 76.2 Å³ per cell.